## TbPu2Ga9 (PBE)

Data for a relaxed TbPu2Ga9 crystal.

D(E_F): 20.61 states/eV/f.u.
VASP energy: -5.4739 eV/atom
E_form: -5.15 eV/f.u.
Polymorph energy (0 for the lowest one): 0.000 eV per atom
Calculated volume: 19.64 Å³/atom

Structure (extended XYZ):
```
12
Lattice="4.284 0.000 0.000 0.000 4.284 0.000 0.000 0.000 12.839" Properties=species:S:1:pos:R:3 pbc="T T T"
Tb 0.000 0.000 0.000
Pu 0.000 0.000 4.270
Pu 0.000 0.000 8.570
Ga 0.000 2.142 2.165
Ga 0.000 2.142 6.420
Ga 0.000 2.142 10.674
Ga 2.142 0.000 2.165
Ga 2.142 0.000 6.420
Ga 2.142 0.000 10.674
Ga 2.142 2.142 0.000
Ga 2.142 2.142 4.301
Ga 2.142 2.142 8.538
```

## TbPu2Ga (PBE)

Data for a relaxed TbPu2Ga crystal.

D(E_F): 13.04 states/eV/f.u.
VASP energy: -8.9905 eV/atom
E_form: 0.36 eV/f.u.
Polymorph energy (0 for the lowest one): 0.256 eV per atom
Calculated volume: 25.32 Å³/atom

Structure (extended XYZ):
```
4
Lattice="0.000 3.700 3.700 3.700 0.000 3.700 3.700 3.700 0.000" Properties=species:S:1:pos:R:3 pbc="T T T"
Tb 0.000 0.000 0.000
Pu 1.850 1.850 1.850
Pu 5.549 5.549 5.549
Ga 3.700 3.700 3.700
```

## TbPu2Ga (PBE)

Data for a relaxed TbPu2Ga crystal.

D(E_F): 12.55 states/eV/f.u.
VASP energy: -9.1156 eV/atom
E_form: -0.14 eV/f.u.
Polymorph energy (0 for the lowest one): 0.131 eV per atom
Calculated volume: 25.39 Å³/atom

Structure (extended XYZ):
```
4
Lattice="3.976 0.000 0.000 0.000 3.976 0.000 0.000 0.000 6.426" Properties=species:S:1:pos:R:3 pbc="T T T"
Tb 0.000 0.000 0.000
Pu 1.988 1.988 1.787
Pu 1.988 1.988 4.639
Ga 0.000 0.000 3.213
```

## TbPuGa6 (PBE)

Data for a relaxed TbPuGa6 crystal.

D(E_F): 9.57 states/eV/f.u.
VASP energy: -5.1065 eV/atom
E_form: -3.73 eV/f.u.
Calculated volume: 19.48 Å³/atom

Structure (extended XYZ):
```
8
Lattice="6.229 0.000 0.000 -3.114 5.394 0.000 0.000 0.000 4.637" Properties=species:S:1:pos:R:3 pbc="T T T"
Tb 0.000 0.000 0.000
Pu 0.000 3.596 2.319
Ga 1.712 0.988 2.319
Ga 3.114 0.170 0.000
Ga 1.705 2.612 0.000
Ga 4.517 0.988 2.319
Ga 3.114 3.417 2.319
Ga 4.524 2.612 0.000
```

## TbPu2Ga9 (PBE)

Data for a relaxed TbPu2Ga9 crystal.

D(E_F): 17.21 states/eV/f.u.
VASP energy: -5.3514 eV/atom
E_form: -3.68 eV/f.u.
Polymorph energy (0 for the lowest one): 0.123 eV per atom
Calculated volume: 19.68 Å³/atom

Structure (extended XYZ):
```
12
Lattice="2.754 1.590 8.989 -2.754 1.590 8.989 0.000 -3.180 8.989" Properties=species:S:1:pos:R:3 pbc="T T T"
Tb 0.000 0.000 0.000
Pu 0.000 0.000 3.836
Pu 0.000 0.000 23.131
Ga -1.406 -0.812 11.258
Ga 0.000 0.000 9.039
Ga 0.000 -1.623 15.709
Ga -1.406 0.812 15.709
Ga 0.000 0.000 13.483
Ga 1.406 -0.812 11.258
Ga 0.000 1.623 11.258
Ga 0.000 0.000 17.928
Ga 1.406 0.812 15.709
```

## TbPuGaTc (PBE)

Data for a relaxed TbPuGaTc crystal.

D(E_F): 9.19 states/eV/f.u.
VASP energy: -8.1752 eV/atom
E_form: -0.35 eV/f.u.
Calculated volume: 21.25 Å³/atom

Structure (extended XYZ):
```
4
Lattice="0.000 3.490 3.490 3.490 0.000 3.490 3.490 3.490 0.000" Properties=species:S:1:pos:R:3 pbc="T T T"
Tb 0.000 0.000 0.000
Pu 3.490 3.490 3.490
Ga 5.235 5.235 5.235
Tc 1.745 1.745 1.745
```

## TbPu2GaTe5 (PBE)

Data for a relaxed TbPu2GaTe5 crystal.

D(E_F): 23.48 states/eV/f.u.
Raw formation energy: -0.8248 eV/atom
VASP energy: -6.6058 eV/atom
Calculated volume: 32.59 Å³/atom

Structure (extended XYZ):
```
18
Lattice="2.163 -8.170 0.000 2.163 8.170 0.000 0.000 0.000 16.595" Properties=species:S:1:pos:R:3 pbc="T T T"
Tb 2.163 4.397 8.298
Tb 2.163 -4.397 0.000
Pu 2.163 2.804 12.521
Pu 2.163 1.268 3.101
Pu 2.163 -1.268 11.399
Pu 2.163 -2.804 4.223
Ga 2.163 7.655 9.346
Ga 2.163 -7.655 1.048
Te 2.163 7.717 4.429
Te 2.163 4.234 2.132
Te 2.163 3.301 5.512
Te 2.163 1.820 15.632
Te 2.163 1.298 9.410
Te 2.163 -1.298 1.112
Te 2.163 -1.820 7.335
Te 2.163 -3.301 13.810
Te 2.163 -4.234 10.430
Te 2.163 -7.717 12.726
```

## TbPuZnGa (PBE)

Data for a relaxed TbPuZnGa crystal.

D(E_F): 6.88 states/eV/f.u.
VASP energy: -6.1193 eV/atom
E_form: -1.21 eV/f.u.
Calculated volume: 23.05 Å³/atom

Structure (extended XYZ):
```
4
Lattice="0.000 3.586 3.586 3.586 0.000 3.586 3.586 3.586 0.000" Properties=species:S:1:pos:R:3 pbc="T T T"
Tb 0.000 0.000 0.000
Pu 3.586 3.586 3.586
Zn 1.793 1.793 1.793
Ga 5.378 5.378 5.378
```